The following is a GGA+U calculation of MnSiMoO6 after structural relaxation, from Alexandria via LeMat-Bulk.

```
18
Lattice="4.9503 0.0000 0.0000 -2.4751 4.2870 0.0000 0.0000 0.0000 9.3483" Properties=species:S:1:pos:R:3 pbc="T T T"
Mn 0.0000 0.0000 0.0000
Mn 0.0000 0.0000 4.6742
Si 0.0000 2.8580 2.3371
Si 2.4751 1.4290 7.0112
Mo 0.0000 2.8580 7.0112
Mo 2.4751 1.4290 2.3371
O -0.8273 1.6188 1.3200
O -1.4868 2.7612 3.3542
O 0.8273 1.6188 3.3542
O -0.6595 4.1941 1.3200
O 1.8156 0.0930 5.9941
O 0.9883 1.5258 8.0283
O 1.4868 2.7612 1.3200
O 0.6595 4.1941 3.3542
O 3.1347 0.0930 8.0283
O 1.6479 2.6682 5.9941
O 3.9619 1.5258 5.9941
O 3.3024 2.6682 8.0283
```

Calculated values
**Symmetry**: P-31c
**Electronic total energy**: -7.439 eV/atom
**Theoretical density**: 4603 kg/m³
**Total magnetic moment**: 0.56 μB per atom